[1]
Here is a relaxed CrAs2P crystal from the Alexandria database. Energies are from PBE.

a b c (Å): 6.5266 6.5266 6.5266
angles (deg): 150.23 149.20 43.36
With the nearest neighbours (Å) after each atom.
Element x y z (fractional)
As 0.7448 0.2448 0.5000  4 P 2.50
As 0.0210 0.0210 0.0000  4 Cr 2.62
Cr 0.4363 0.4363 0.0000  2 P 2.37, 4 As 2.62
P 0.2979 0.7979 0.5000  2 Cr 2.37, 4 As 2.50

**Space group**: Imm2
**Electronic total energy**: -5.903 eV/atom
**DFT formation energy**: 180 meV/atom



[2]
Here is a relaxed AlCrSeN2 crystal from the Alexandria database. Energies are from PBE.

a b c (Å): 3.7423 3.7423 5.2829
angles (deg): 90.00 90.00 90.00
With the nearest neighbours (Å) after each atom.
Element x y z (fractional)
N 0.0000 0.5000 0.0000  2 Al 1.87
N 0.5000 0.0000 0.0000  2 Al 1.87
Cr 0.5000 0.5000 0.5000  4 Se 2.65
Se 0.0000 0.0000 0.5000  2 Al 2.64, 4 Cr 2.65
Al 0.0000 0.0000 0.0000  4 N 1.87

**Space group**: P4/mmm
**Electronic total energy**: -6.092 eV/atom
**E_form (uncorrected)**: 3.0 eV/f.u.



[3]
Here is a relaxed Tb3NdTm2S6 crystal from the Alexandria database. Energies are from PBE.

a b c (Å): 6.8055 6.8055 6.7863
angles (deg): 99.60 99.60 120.16
With the nearest neighbours (Å) after each atom.
Element x y z (fractional)
Tb 0.5000 0.5000 0.5000  6 S 2.72-2.81
Tb 0.1602 0.8398 0.5000  6 S 2.76-2.81
Tb 0.8398 0.1602 0.5000  6 S 2.76-2.81
S 0.9169 0.5703 0.7499  2 Tm 2.74-2.75, 3 Tb 2.76-2.81, 1 Nd 2.85
S 0.4297 0.0831 0.2501  2 Tm 2.74-2.75, 3 Tb 2.76-2.81, 1 Nd 2.85
S 0.7357 0.7357 0.2452  2 Tm 2.71, 3 Tb 2.72-2.78, 1 Nd 2.83
S 0.2643 0.2643 0.7548  2 Tm 2.71, 3 Tb 2.72-2.78, 1 Nd 2.83
S 0.5703 0.9169 0.7499  2 Tm 2.74-2.75, 3 Tb 2.76-2.81, 1 Nd 2.85
S 0.0831 0.4297 0.2501  2 Tm 2.74-2.75, 3 Tb 2.76-2.81, 1 Nd 2.85
Tm 0.6657 0.3343 0.0000  6 S 2.71-2.75
Tm 0.3343 0.6657 0.0000  6 S 2.71-2.75
Nd 0.0000 0.0000 0.0000  6 S 2.83-2.85

**Space group**: C2/m
**Electronic total energy**: -6.349 eV/atom
**E_form (uncorrected)**: -23.8 eV/f.u.



[4]
Here is a relaxed BaLa2ScIr crystal from the Alexandria database. Energies are from PBE.

a b c (Å): 5.7368 5.7368 5.3901
angles (deg): 90.00 90.00 90.00
With the nearest neighbours (Å) after each atom.
Element x y z (fractional)
Ir 0.0000 0.0000 0.0000  2 Sc 2.70, 4 La 2.87
La 0.0000 0.5000 0.0000  2 Ir 2.87
La 0.5000 0.0000 0.0000  2 Ir 2.87
Ba 0.5000 0.5000 0.5000  8 La 3.94, 4 Sc 4.06
Sc 0.0000 0.0000 0.5000  2 Ir 2.70

**Space group**: P4/mmm
**Electronic total energy**: -5.678 eV/atom
**DFT formation energy**: -284 meV/atom



[5]
Here is a relaxed ThAgPb crystal from the Alexandria database. Energies are from PBE.

a b c (Å): 3.8473 4.8953 4.8953
angles (deg): 120.00 90.00 90.00
With the nearest neighbours (Å) after each atom.
Element x y z (fractional)
Ag 0.2405 0.3333 0.6667  3 Pb 2.87
Th 0.6543 0.6667 0.3333  6 Ag 3.24-3.62, 6 Pb 3.32-3.53
Pb 0.1052 0.0000 0.0000  3 Ag 2.87

**Space group**: P3m1
**Electronic total energy**: -4.827 eV/atom
**DFT formation energy**: -167 meV/atom



[6]
Here is a relaxed SnBIr2Pb crystal from the Alexandria database. Energies are from PBE.

a b c (Å): 5.1254 4.2691 5.1254
angles (deg): 90.00 90.00 90.00
With the nearest neighbours (Å) after each atom.
Element x y z (fractional)
Sn 0.5000 0.5000 0.5000  8 Ir 3.34, 4 B 3.62
Ir 0.5000 0.0000 0.0000  2 Pb 2.56
Ir 0.0000 0.0000 0.5000  2 Pb 2.56
Pb 0.0000 0.0000 0.0000  2 B 2.13
B 0.0000 0.5000 0.0000  2 Pb 2.13

**Space group**: P4/mmm
**Electronic total energy**: -4.514 eV/atom
**DFT formation energy**: 1908 meV/atom



[7]
Here is a relaxed MnPSeSN crystal from the Alexandria database. Energies are from PBE.

a b c (Å): 2.8200 6.0324 6.3025
angles (deg): 109.42 102.80 90.00
With the nearest neighbours (Å) after each atom.
Element x y z (fractional)
Se 0.8588 0.9334 0.5780  2 Mn 2.38, 1 P 2.56
P 0.7169 0.1571 0.2915  2 N 1.74
N 0.2645 0.3312 0.3876  2 P 1.74, 1 Mn 1.90
S 0.6033 0.5712 0.0620  2 Mn 2.16
Mn 0.2422 0.6269 0.3427  1 N 1.90

**Space group**: P1
**Electronic total energy**: -6.142 eV/atom
**E_form (uncorrected)**: -0.2 eV/f.u.



[8]
Here is a relaxed ScOs2Br crystal from the Alexandria database. Energies are from PBE.

a b c (Å): 5.1509 3.0049 4.4947
angles (deg): 91.20 90.00 90.00
With the nearest neighbours (Å) after each atom.
Element x y z (fractional)
Os 0.0000 0.5539 0.4927  2 Os 2.50-2.57
Os 0.0000 0.9461 0.0073  2 Os 2.50-2.57
Br 0.5000 0.7500 0.7500  4 Sc 2.68-2.73, 4 Os 2.88
Sc 0.5000 0.2500 0.2500  4 Br 2.68-2.73, 4 Os 2.94

**Space group**: P2/m
**Electronic total energy**: -7.169 eV/atom
**E_form (uncorrected)**: 1.8 eV/f.u.



[9]
Here is a relaxed Na3CN4 crystal from the Alexandria database. Energies are from PBE.

a b c (Å): 5.1766 5.1766 5.1766
angles (deg): 97.19 115.94 115.94
With the nearest neighbours (Å) after each atom.
Element x y z (fractional)
Na 0.5000 0.7500 0.2500  8 N 2.63
Na 0.5000 0.2500 0.7500  8 N 2.63
Na 0.0000 0.0000 0.0000  4 N 2.41
N 0.0000 0.6891 0.3109  1 C 1.47
N 0.3783 0.6891 0.6891  1 C 1.47
N 0.0000 0.3109 0.6891  1 C 1.47
N 0.6217 0.3109 0.3109  1 C 1.47
C 0.0000 0.5000 0.5000  4 N 1.47

**Space group**: I4/mmm
**Electronic total energy**: -4.876 eV/atom
**E_form (uncorrected)**: 7.5 eV/f.u.



[10]
Here is a relaxed ErTm2Pb3 crystal from the Alexandria database. Energies are from PBE.

a b c (Å): 6.3457 6.3433 8.9583
angles (deg): 110.73 100.14 90.00
With the nearest neighbours (Å) after each atom.
Element x y z (fractional)
Pb 0.5838 0.0426 0.3340  5 Tm 3.17-3.54, 2 Er 3.18-3.55, 4 Pb 3.54-3.55
Pb 0.2500 0.3749 0.0000  4 Er 3.17-3.55, 4 Tm 3.17-3.54, 4 Pb 3.55
Pb 0.0838 0.2913 0.3340  5 Tm 3.17-3.54, 2 Er 3.18-3.55, 4 Pb 3.54-3.55
Pb 0.4162 0.9574 0.6660  5 Tm 3.17-3.54, 2 Er 3.18-3.55, 4 Pb 3.54-3.55
Pb 0.7500 0.6251 0.0000  4 Er 3.17-3.55, 4 Tm 3.17-3.54, 4 Pb 3.55
Pb 0.9162 0.7087 0.6660  5 Tm 3.17-3.54, 2 Er 3.18-3.55, 4 Pb 3.54-3.55
Tm 0.0827 0.7915 0.3333  7 Pb 3.17-3.54, 3 Tm 3.54-3.55, 1 Er 3.54
Tm 0.4173 0.4582 0.6667  7 Pb 3.17-3.54, 3 Tm 3.54-3.55, 1 Er 3.54
Tm 0.9173 0.2085 0.6667  7 Pb 3.17-3.54, 3 Tm 3.54-3.55, 1 Er 3.54
Tm 0.5827 0.5418 0.3333  7 Pb 3.17-3.54, 3 Tm 3.54-3.55, 1 Er 3.54
Er 0.7500 0.1257 0.0000  8 Pb 3.17-3.55, 2 Tm 3.54
Er 0.2500 0.8743 0.0000  8 Pb 3.17-3.55, 2 Tm 3.54

**Space group**: C2/c
**Electronic total energy**: -4.561 eV/atom
**DFT formation energy**: -456 meV/atom



[11]
Here is a relaxed Fe2MoCl crystal from the Alexandria database. Energies are from PBE.

a b c (Å): 2.8001 4.3346 4.5495
angles (deg): 90.00 90.00 90.00
With the nearest neighbours (Å) after each atom.
Element x y z (fractional)
Mo 0.5000 0.0000 0.5000  4 Cl 2.58, 4 Fe 2.67, 2 Mo 2.80
Fe 0.0000 0.0000 0.0000  6 Fe 2.58-2.80, 4 Mo 2.67
Fe 0.5000 0.5000 0.0000  6 Fe 2.58-2.80, 4 Cl 2.67
Cl 0.0000 0.5000 0.5000  4 Mo 2.58, 4 Fe 2.67, 2 Cl 2.80

**Space group**: Pmmm
**Electronic total energy**: -6.729 eV/atom
**E_form (uncorrected)**: 2.7 eV/f.u.



[12]
Here is a relaxed Al2Cu2Si crystal from the Alexandria database. Energies are from PBE.

a b c (Å): 4.0342 4.0342 5.2946
angles (deg): 90.00 90.00 120.00
With the nearest neighbours (Å) after each atom.
Element x y z (fractional)
Cu 0.3333 0.6667 0.8319  3 Si 2.49, 5 Al 2.53-2.77
Cu 0.6667 0.3333 0.1681  3 Si 2.49, 5 Al 2.53-2.77
Al 0.6667 0.3333 0.6455  5 Cu 2.53-2.77, 3 Al 2.79
Al 0.3333 0.6667 0.3545  5 Cu 2.53-2.77, 3 Al 2.79
Si 0.0000 0.0000 0.0000  6 Cu 2.49

**Space group**: P-3m1
**Electronic total energy**: -4.215 eV/atom
**E_form (uncorrected)**: 0.0 eV/f.u.



- electronic total energy of number 7 (MnPSeSN)?
  -6.142 eV/atom